Record 1
The following is a DFT calculation (GGA-PBE) of an optimized crystal structure of ScHgN2.

```
data_ScHgN2
_chemical_formula_sum 'Sc3 Hg3 N6'
_space_group_name_H-M_alt 'R -3 m'
_space_group_IT_number 166
_space_group_name_Hall '-R 3 2"'
_cell_length_a 3.3681
_cell_length_b 3.3681
_cell_length_c 18.7910
_cell_angle_alpha 90.00
_cell_angle_beta 90.00
_cell_angle_gamma 120.00
loop_
_atom_site_label
_atom_site_type_symbol
_atom_site_fract_x
_atom_site_fract_y
_atom_site_fract_z
Sc1 Sc 0.0000 0.0000 0.0000
Hg1 Hg 0.0000 0.0000 0.5000
N1 N 0.0000 0.0000 0.3913
```

---

Record 2
The following is a DFT calculation (GGA-PBE) of an optimized crystal structure of Sc3HgN.

```
data_Sc3HgN
_chemical_formula_sum 'Sc6 Hg2 N2'
_space_group_name_H-M_alt 'P 63/m m c'
_space_group_IT_number 194
_space_group_name_Hall '-P 6c 2c'
_cell_length_a 4.7913
_cell_length_b 4.7913
_cell_length_c 8.9563
_cell_angle_alpha 90.00
_cell_angle_beta 90.00
_cell_angle_gamma 120.00
loop_
_atom_site_label
_atom_site_type_symbol
_atom_site_fract_x
_atom_site_fract_y
_atom_site_fract_z
Sc1 Sc 0.0000 0.0000 0.2500
Sc2 Sc 0.3333 0.6667 0.0715
Hg1 Hg 0.3333 0.6667 0.7500
N1 N 0.0000 0.0000 0.0000
```

---

Quick rundown of ΔE_f (raw), same order as above: -0.17, -0.37 eV per atom
Quick rundown of total moment, same order as above: 0.00, 0.36 μB per formula unit